[1]
The following is a DFT calculation (GGA-PBE) of a relaxed Sc2Be2SnRh5 crystal.

Cell and atoms, written as extended XYZ:
```
20
Lattice="9.5857 0.0000 0.0000 0.0000 9.5857 0.0000 0.0000 0.0000 3.1791" Properties=species:S:1:pos:R:3 pbc="T T T"
Sc 1.6774 3.1154 0.0000
Sc 3.1154 7.9082 0.0000
Sc 6.4703 1.6774 0.0000
Sc 7.9082 6.4703 0.0000
Be 1.1563 5.9492 0.0000
Be 3.6365 1.1563 0.0000
Be 5.9492 8.4293 0.0000
Be 8.4293 3.6365 0.0000
Sn 0.0000 0.0000 0.0000
Sn 4.7928 4.7928 0.0000
Rh 0.0000 4.7928 1.5896
Rh 0.6790 7.5177 1.5896
Rh 2.0679 0.6790 1.5896
Rh 2.7249 5.4718 1.5896
Rh 4.1138 2.7249 1.5896
Rh 4.7928 0.0000 1.5896
Rh 5.4718 6.8607 1.5896
Rh 6.8607 4.1138 1.5896
Rh 7.5177 8.9067 1.5896
Rh 8.9067 2.0679 1.5896
```

ΔH_f (0 K)	-0.829	eV/atom
theoretical density	8.427	g/cm3
volume	14.61	Å³/atom



[2]
The following is a DFT calculation (GGA-PBE) of a relaxed ScBe2SnRh crystal.

Cell and atoms, written as extended XYZ:
```
5
Lattice="4.4931 0.0000 0.0000 0.0000 4.4931 0.0000 0.0000 0.0000 5.2617" Properties=species:S:1:pos:R:3 pbc="T T T"
Sc 0.0000 0.0000 0.0000
Be 0.0000 2.2465 0.0000
Be 2.2465 0.0000 0.0000
Sn 0.0000 0.0000 2.6308
Rh 2.2465 2.2465 2.6308
```

ΔH_f (0 K)	1.621	eV/atom
theoretical density	4.449	g/cm3
volume	21.24	Å³/atom



[3]
The following is a DFT calculation (GGA-PBE) of a relaxed ScTi2BeRh crystal.

Cell and atoms, written as extended XYZ:
```
5
Lattice="4.7416 0.0000 0.0000 0.0000 4.7416 0.0000 0.0000 0.0000 4.3166" Properties=species:S:1:pos:R:3 pbc="T T T"
Sc 0.0000 0.0000 0.0000
Ti 0.0000 2.3708 2.1583
Ti 2.3708 0.0000 2.1583
Be 2.3708 2.3708 0.0000
Rh 2.3708 2.3708 2.1583
```

ΔH_f (0 K)	0.229	eV/atom
theoretical density	4.322	g/cm3
volume	19.41	Å³/atom



[4]
The following is a DFT calculation (GGA-PBE) of a relaxed ScTi2Be2Rh5 crystal.

Cell and atoms, written as extended XYZ:
```
20
Lattice="9.3030 0.0000 0.0000 0.0000 9.3030 0.0000 0.0000 0.0000 3.1946" Properties=species:S:1:pos:R:3 pbc="T T T"
Sc 0.0000 0.0000 0.0000
Sc 4.6515 4.6515 0.0000
Ti 1.6250 3.0265 0.0000
Ti 3.0265 7.6780 0.0000
Ti 6.2765 1.6250 0.0000
Ti 7.6780 6.2765 0.0000
Be 1.1363 5.7878 0.0000
Be 3.5152 1.1363 0.0000
Be 5.7878 8.1667 0.0000
Be 8.1667 3.5152 0.0000
Rh 0.0000 4.6515 1.5973
Rh 0.7108 7.3213 1.5973
Rh 1.9817 0.7108 1.5973
Rh 2.6698 5.3623 1.5973
Rh 3.9407 2.6698 1.5973
Rh 4.6515 0.0000 1.5973
Rh 5.3623 6.6332 1.5973
Rh 6.6332 3.9407 1.5973
Rh 7.3213 8.5922 1.5973
Rh 8.5922 1.9817 1.5973
```

ΔH_f (0 K)	-0.734	eV/atom
theoretical density	8.087	g/cm3
volume	13.82	Å³/atom



[5]
The following is a DFT calculation (GGA-PBE) of a relaxed Sc2TiBe2Rh5 crystal.

Cell and atoms, written as extended XYZ:
```
20
Lattice="9.5323 0.0000 0.0000 0.0000 9.5323 0.0000 0.0000 0.0000 3.1046" Properties=species:S:1:pos:R:3 pbc="T T T"
Sc 1.6623 3.1039 0.0000
Sc 3.1039 7.8700 0.0000
Sc 6.4284 1.6623 0.0000
Sc 7.8700 6.4284 0.0000
Ti 0.0000 0.0000 0.0000
Ti 4.7662 4.7662 0.0000
Be 1.1711 5.9373 0.0000
Be 3.5950 1.1711 0.0000
Be 5.9373 8.3612 0.0000
Be 8.3612 3.5950 0.0000
Rh 0.0000 4.7662 1.5523
Rh 0.6691 7.5377 1.5523
Rh 1.9946 0.6691 1.5523
Rh 2.7716 5.4353 1.5523
Rh 4.0970 2.7716 1.5523
Rh 4.7662 0.0000 1.5523
Rh 5.4353 6.7608 1.5523
Rh 6.7608 4.0970 1.5523
Rh 7.5377 8.8632 1.5523
Rh 8.8632 1.9946 1.5523
```

ΔH_f (0 K)	-0.882	eV/atom
theoretical density	7.892	g/cm3
volume	14.10	Å³/atom



[6]
The following is a DFT calculation (GGA-PBE) of a relaxed TmScBeRh crystal.

Cell and atoms, written as extended XYZ:
```
4
Lattice="0.0000 3.2993 3.2993 3.2993 0.0000 3.2993 3.2993 3.2993 0.0000" Properties=species:S:1:pos:R:3 pbc="T T T"
Tm 0.0000 0.0000 0.0000
Sc 3.2993 3.2993 3.2993
Be 4.9489 4.9489 4.9489
Rh 1.6496 1.6496 1.6496
```

ΔH_f (0 K)	-0.450	eV/atom
theoretical density	7.532	g/cm3
volume	17.96	Å³/atom



[7]
The following is a DFT calculation (GGA-PBE) of a relaxed ScBeZnRh crystal.

Cell and atoms, written as extended XYZ:
```
4
Lattice="0.0000 3.0515 3.0515 3.0515 0.0000 3.0515 3.0515 3.0515 0.0000" Properties=species:S:1:pos:R:3 pbc="T T T"
Sc 0.0000 0.0000 0.0000
Be 4.5773 4.5773 4.5773
Zn 1.5258 1.5258 1.5258
Rh 3.0515 3.0515 3.0515
```

ΔH_f (0 K)	-0.402	eV/atom
theoretical density	6.495	g/cm3
volume	14.21	Å³/atom



[8]
The following is a DFT calculation (GGA-PBE) of a relaxed Zr2ScBe2Rh5 crystal.

Cell and atoms, written as extended XYZ:
```
20
Lattice="9.5528 0.0000 0.0000 0.0000 9.5528 0.0000 0.0000 0.0000 3.2368" Properties=species:S:1:pos:R:3 pbc="T T T"
Zr 1.6701 3.1063 0.0000
Zr 3.1063 7.8828 0.0000
Zr 6.4465 1.6701 0.0000
Zr 7.8828 6.4465 0.0000
Sc 0.0000 0.0000 0.0000
Sc 4.7764 4.7764 0.0000
Be 1.1603 5.9367 0.0000
Be 3.6161 1.1603 0.0000
Be 5.9367 8.3926 0.0000
Be 8.3926 3.6161 0.0000
Rh 0.0000 4.7764 1.6184
Rh 0.6813 7.4899 1.6184
Rh 2.0629 0.6813 1.6184
Rh 2.7135 5.4577 1.6184
Rh 4.0951 2.7135 1.6184
Rh 4.7764 0.0000 1.6184
Rh 5.4577 6.8393 1.6184
Rh 6.8393 4.0951 1.6184
Rh 7.4899 8.8716 1.6184
Rh 8.8716 2.0629 1.6184
```

ΔH_f (0 K)	-0.862	eV/atom
theoretical density	8.545	g/cm3
volume	14.77	Å³/atom



Number 1: total DFT energy (no corrections) -69.2 eV per formula unit, D(E_F) 9.38 states/eV per cell. Number 2: total DFT energy (no corrections) -17.0 eV per formula unit, D(E_F) 4.22 states/eV per cell. Number 3: total DFT energy (no corrections) -32.1 eV per formula unit, D(E_F) 6.61 states/eV per cell. Number 4: total DFT energy (no corrections) -73.7 eV per formula unit, D(E_F) 8.37 states/eV per cell. Number 5: total DFT energy (no corrections) -73.6 eV per formula unit, D(E_F) 7.57 states/eV per cell. Number 6: total DFT energy (no corrections) -23.7 eV per formula unit, D(E_F) 2.11 states/eV per cell. Number 7: total DFT energy (no corrections) -20.3 eV per formula unit, D(E_F) 3.92 states/eV per cell. Number 8: total DFT energy (no corrections) -76.3 eV per formula unit, D(E_F) 6.67 states/eV per cell.